Computed, not measured: Nd2Y2Ho5 after structural relaxation at the PBE level of DFT.

Structure (POSCAR):
```
Nd2Y2Ho5
1.0
8.821 -1.745 0.000
8.821 1.745 0.000
-1.498 0.000 9.652
Nd Y Ho
2 2 5
Direct
0.008 0.008 0.189
0.992 0.992 0.811
0.338 0.338 0.272
0.662 0.662 0.728
0.173 0.173 0.042
0.322 0.322 0.629
0.500 0.500 0.500
0.678 0.678 0.371
0.827 0.827 0.958
```

Output
calculated total energy = -4.889 eV/atom
formation energy from the elements = 0.15 eV per atom
space group = C2/m, No. 12
energy relative to the lowest polymorph listed for this composition = 0 meV/atom

***

Computed, not measured: Nd2Y2Ho3 after structural relaxation at the PBE level of DFT.

Structure (POSCAR):
```
Nd2Y2Ho3
1.0
-4.888 4.888 4.888
4.888 -4.888 4.888
4.888 4.888 -4.888
Nd Y Ho
4 4 6
Direct
0.000 0.813 0.500
0.500 0.000 0.813
0.687 0.687 0.687
0.813 0.500 0.000
0.000 0.413 0.500
0.087 0.087 0.087
0.413 0.500 0.000
0.500 0.000 0.413
0.192 0.750 0.942
0.250 0.558 0.308
0.308 0.250 0.558
0.558 0.308 0.250
0.750 0.942 0.192
0.942 0.192 0.750
```

Output
calculated total energy = -4.945 eV/atom
formation energy from the elements = 0.23 eV per atom
space group = I2_13, No. 199
energy relative to the lowest polymorph listed for this composition = 99 meV/atom

***

Computed, not measured: NdY2Ho9 after structural relaxation at the PBE level of DFT.

Structure (POSCAR):
```
NdY2Ho9
1.0
11.221 0.000 0.000
-5.611 9.718 0.000
0.000 0.000 3.499
Nd Y Ho
1 2 9
Direct
0.000 0.000 0.000
0.333 0.667 0.000
0.667 0.333 0.000
0.000 0.500 0.000
0.177 0.355 0.500
0.177 0.823 0.500
0.355 0.177 0.500
0.500 0.000 0.000
0.500 0.500 0.000
0.645 0.823 0.500
0.823 0.177 0.500
0.823 0.645 0.500
```

Output
calculated total energy = -4.860 eV/atom
formation energy from the elements = 0.05 eV per atom
space group = P6/mmm, No. 191
energy relative to the lowest polymorph listed for this composition = 24 meV/atom

***

Computed, not measured: Nd4Y2Ho5 after structural relaxation at the PBE level of DFT.

Structure (POSCAR):
```
Nd4Y2Ho5
1.0
11.180 -1.845 0.000
11.180 1.845 0.000
-2.555 0.000 8.801
Nd Y Ho
4 2 5
Direct
0.069 0.069 0.256
0.429 0.429 0.091
0.571 0.571 0.909
0.931 0.931 0.744
0.151 0.151 0.673
0.849 0.849 0.327
0.208 0.208 0.084
0.301 0.301 0.617
0.500 0.500 0.500
0.699 0.699 0.383
0.792 0.792 0.916
```

Output
calculated total energy = -4.930 eV/atom
formation energy from the elements = 0.06 eV per atom
space group = C2/m, No. 12
energy relative to the lowest polymorph listed for this composition = 0 meV/atom

***

Computed, not measured: Nd2Y3Ho6 after structural relaxation at the PBE level of DFT.

Structure (POSCAR):
```
Nd2Y3Ho6
1.0
-2.374 2.374 16.538
2.374 -2.374 16.538
2.374 2.374 -16.538
Nd Y Ho
2 3 6
Direct
0.046 0.046 0.000
0.954 0.954 0.000
0.297 0.297 0.000
0.500 0.500 0.000
0.703 0.703 0.000
0.121 0.621 0.500
0.193 0.193 0.000
0.379 0.879 0.500
0.621 0.121 0.500
0.807 0.807 0.000
0.879 0.379 0.500
```

Output
calculated total energy = -4.864 eV/atom
formation energy from the elements = 0.26 eV per atom
space group = I4/mmm, No. 139
energy relative to the lowest polymorph listed for this composition = 74 meV/atom

***

Computed, not measured: Nd3Y2Ho3 after structural relaxation at the PBE level of DFT.

Structure (POSCAR):
```
Nd3Y2Ho3
1.0
-2.984 2.984 7.426
2.984 -2.984 7.426
2.984 2.984 -7.426
Nd Y Ho
3 2 3
Direct
0.000 0.000 0.000
0.127 0.627 0.500
0.873 0.373 0.500
0.251 0.251 0.000
0.749 0.749 0.000
0.376 0.876 0.500
0.500 0.500 0.000
0.624 0.124 0.500
```

Output
calculated total energy = -4.998 eV/atom
formation energy from the elements = 0.12 eV per atom
space group = Immm, No. 71
energy relative to the lowest polymorph listed for this composition = 101 meV/atom